Entry 1:
PrAu6 at its PBEsol-relaxed geometry. Source: Alexandria via LeMat-Bulk, functional SCAN.

Values from the calculation:
As for the symmetry: C2/c. For the spin magnetization, the calculation gives 0.0 μB/cell. The crystal system is monoclinic. The calculation puts the total DFT energy (no corrections) at -65.9849 eV per atom. The value obtained for the energy of formation is -0.518 eV per atom.

Geometry as POSCAR:
```
PrAu6
1.0
3.891 -3.873 0.000
3.891 3.873 0.000
-1.562 0.000 8.890
Pr Au
2 12
direct
0.184 0.816 0.750
0.816 0.184 0.250
0.044 0.667 0.126
0.115 0.282 0.582
0.282 0.115 0.082
0.333 0.956 0.374
0.344 0.456 0.363
0.456 0.344 0.863
0.544 0.656 0.137
0.656 0.544 0.637
0.667 0.044 0.626
0.718 0.885 0.918
0.885 0.718 0.418
0.956 0.333 0.874
```


Entry 2:
NaHf3Mo at its PBEsol-relaxed geometry. Source: Alexandria via LeMat-Bulk, functional SCAN.

Values from the calculation:
As for the symmetry: Pm-3m. For the spin magnetization, the calculation gives 0.0 μB/cell. The crystal system is cubic. The calculation puts the total DFT energy (no corrections) at -44.6216 eV per atom. The value obtained for the energy of formation is 0.802 eV per atom.

Geometry as POSCAR:
```
NaHf3Mo
1.0
5.060 0.000 0.000
0.000 5.060 0.000
0.000 0.000 5.060
Na Hf Mo
1 3 1
direct
0.000 0.000 0.000
0.000 0.500 0.500
0.500 0.000 0.500
0.500 0.500 0.000
0.500 0.500 0.500
```


Entry 3:
Ca2GaPt2 at its PBEsol-relaxed geometry. Source: Alexandria via LeMat-Bulk, functional SCAN.

Values from the calculation:
As for the symmetry: C2/c. For the spin magnetization, the calculation gives 0.0 μB/cell. The crystal system is monoclinic. The calculation puts the total DFT energy (no corrections) at -36.3527 eV per atom. The value obtained for the energy of formation is -1.141 eV per atom.

Geometry as POSCAR:
```
Ca2GaPt2
1.0
4.862 -2.806 0.000
4.862 2.806 0.000
-1.697 0.000 7.556
Ca Ga Pt
4 2 4
direct
0.013 0.286 0.149
0.286 0.013 0.649
0.714 0.987 0.351
0.987 0.714 0.851
0.370 0.630 0.250
0.630 0.370 0.750
0.235 0.503 0.497
0.497 0.765 0.003
0.503 0.235 0.997
0.765 0.497 0.503
```


Entry 4:
BeCuSi at its PBEsol-relaxed geometry. Source: Alexandria via LeMat-Bulk, functional SCAN.

Values from the calculation:
As for the symmetry: Cm. For the spin magnetization, the calculation gives 0.0 μB/cell. The crystal system is monoclinic. The calculation puts the total DFT energy (no corrections) at -9.7144 eV per atom.

Geometry as POSCAR:
```
BeCuSi
1.0
1.861 -1.697 0.000
1.861 1.697 0.000
-0.590 0.000 5.394
Be Cu Si
1 1 1
direct
0.000 0.000 0.000
0.552 0.552 0.282
0.277 0.277 0.652
```


Entry 5:
SnF2 at its PBEsol-relaxed geometry. Source: Alexandria via LeMat-Bulk, functional SCAN.

Values from the calculation:
As for the symmetry: C2/c. For the spin magnetization, the calculation gives 0.0 μB/cell. The crystal system is monoclinic. The calculation puts the total DFT energy (no corrections) at -16.6404 eV per atom.

Geometry as POSCAR:
```
SnF2
1.0
6.340 -2.450 0.000
6.340 2.450 0.000
-4.214 0.000 13.140
Sn F
8 16
direct
0.088 0.138 0.184
0.138 0.088 0.684
0.369 0.371 0.558
0.371 0.369 0.058
0.629 0.631 0.942
0.631 0.629 0.442
0.862 0.912 0.316
0.912 0.862 0.816
0.018 0.329 0.040
0.040 0.467 0.696
0.100 0.674 0.178
0.304 0.616 0.415
0.326 0.900 0.322
0.329 0.018 0.540
0.384 0.696 0.085
0.467 0.040 0.196
0.533 0.960 0.804
0.616 0.304 0.915
0.671 0.982 0.460
0.674 0.100 0.678
0.696 0.384 0.585
0.900 0.326 0.822
0.960 0.533 0.304
0.982 0.671 0.960
```


Entry 6:
RbPt2W at its PBEsol-relaxed geometry. Source: Alexandria via LeMat-Bulk, functional SCAN.

Values from the calculation:
As for the symmetry: Fm-3m. For the spin magnetization, the calculation gives 1.7 μB/cell. The crystal system is cubic. The calculation puts the total DFT energy (no corrections) at -56.5319 eV per atom. The value obtained for the energy of formation is 1.171 eV per atom.

Geometry as POSCAR:
```
RbPt2W
1.0
0.000 3.328 3.328
3.328 0.000 3.328
3.328 3.328 0.000
Rb Pt W
1 2 1
direct
0.000 0.000 0.000
0.250 0.250 0.250
0.750 0.750 0.750
0.500 0.500 0.500
```


Entry 7:
LiMgMn2 at its PBEsol-relaxed geometry. Source: Alexandria via LeMat-Bulk, functional SCAN.

Values from the calculation:
As for the symmetry: Pmmm. For the spin magnetization, the calculation gives 0.3 μB/cell. The crystal system is orthorhombic. The calculation puts the total DFT energy (no corrections) at -10.8865 eV per atom. The value obtained for the energy of formation is 0.082 eV per atom.

Geometry as POSCAR:
```
LiMgMn2
1.0
2.925 0.000 0.000
0.000 4.057 0.000
0.000 0.000 4.550
Li Mg Mn
1 1 2
direct
0.000 0.000 0.000
0.500 0.500 0.000
0.000 0.500 0.500
0.500 0.000 0.500
```


Entry 8:
NbCdAu3 at its PBEsol-relaxed geometry. Source: Alexandria via LeMat-Bulk, functional SCAN.

Values from the calculation:
As for the symmetry: Pm-3m. For the spin magnetization, the calculation gives 3.4 μB/cell. The crystal system is cubic. The calculation puts the total DFT energy (no corrections) at -53.1616 eV per atom. The value obtained for the energy of formation is 1.041 eV per atom.

Geometry as POSCAR:
```
NbCdAu3
1.0
4.930 0.000 0.000
0.000 4.930 0.000
0.000 0.000 4.930
Nb Cd Au
1 1 3
direct
0.000 0.000 0.000
0.500 0.500 0.500
0.000 0.500 0.500
0.500 0.000 0.500
0.500 0.500 0.000
```


Entry 9:
CaBe2Ir at its PBEsol-relaxed geometry. Source: Alexandria via LeMat-Bulk, functional SCAN.

Values from the calculation:
As for the symmetry: R3m. For the spin magnetization, the calculation gives 0.0 μB/cell. The crystal system is trigonal. The calculation puts the total DFT energy (no corrections) at -22.8335 eV per atom. The value obtained for the energy of formation is -0.466 eV per atom.

Geometry as POSCAR:
```
CaBe2Ir
1.0
1.940 1.120 5.076
-1.940 1.120 5.076
0.000 -2.241 5.076
Ca Be Ir
1 2 1
direct
0.000 0.000 0.000
0.181 0.181 0.181
0.498 0.498 0.498
0.809 0.809 0.809
```


Entry 10:
Eu2H3Br at its PBEsol-relaxed geometry. Source: Alexandria via LeMat-Bulk, functional SCAN.

Values from the calculation:
As for the symmetry: P-3m1. For the spin magnetization, the calculation gives 14.0 μB/cell. The crystal system is trigonal. The calculation puts the total DFT energy (no corrections) at -23.9727 eV per atom.

Geometry as POSCAR:
```
Eu2H3Br
1.0
3.958 0.000 0.000
-1.979 3.428 0.000
0.000 0.000 6.863
Eu H Br
2 3 1
direct
0.333 0.667 0.307
0.667 0.333 0.693
0.000 0.000 0.500
0.333 0.667 0.647
0.667 0.333 0.353
0.000 0.000 0.000
```


Entry 11:
SnAu3 at its PBEsol-relaxed geometry. Source: Alexandria via LeMat-Bulk, functional SCAN.

Values from the calculation:
As for the symmetry: P6_3/mmc. For the spin magnetization, the calculation gives 0.0 μB/cell. The crystal system is hexagonal. The calculation puts the total DFT energy (no corrections) at -60.8354 eV per atom. The value obtained for the energy of formation is 0.013 eV per atom.

Geometry as POSCAR:
```
SnAu3
1.0
5.829 0.000 0.000
-2.914 5.048 0.000
0.000 0.000 5.011
Sn Au
2 6
direct
0.333 0.667 0.250
0.667 0.333 0.750
0.165 0.330 0.750
0.165 0.835 0.750
0.330 0.165 0.250
0.670 0.835 0.750
0.835 0.165 0.250
0.835 0.670 0.250
```


Entry 12:
TaNi2W at its PBEsol-relaxed geometry. Source: Alexandria via LeMat-Bulk, functional SCAN.

Values from the calculation:
As for the symmetry: P4/mmm. For the spin magnetization, the calculation gives 0.0 μB/cell. The crystal system is tetragonal. The calculation puts the total DFT energy (no corrections) at -42.2123 eV per atom. The value obtained for the energy of formation is -0.058 eV per atom.

Geometry as POSCAR:
```
TaNi2W
1.0
3.788 0.000 0.000
0.000 3.788 0.000
0.000 0.000 3.727
Ta Ni W
1 2 1
direct
0.000 0.000 0.000
0.000 0.500 0.500
0.500 0.000 0.500
0.500 0.500 0.000
```